(1)
Material: Ta2ZnW
Method: DFT, PBE
State: optimized geometry

Cell: 2.754 2.754 8.885 Å, 90.00 90.00 90.00°
Positions (direct):
Ta (0.000, 0.000, 0.237)
Ta (0.000, 0.000, 0.763)
Zn (0.500, 0.500, 0.000)
W (0.500, 0.500, 0.500)

Results
- Mass density: 15.1 g/cm3
- Calculated formation energy: 0.61 eV per formula unit
- Space-group type: P4/mmm
- DOS(E_F): 0.921 states/eV per atom

=====

(2)
Material: PmIn3Pt2
Method: DFT, PBE
State: optimized geometry

Cell: 9.440 9.440 11.203 Å, 105.80 105.80 25.29°
Positions (direct):
Pm (0.000, 0.000, 0.000)
Pm (0.156, 0.156, 0.705)
Pm (0.844, 0.844, 0.295)
In (0.038, 0.038, 0.336)
In (0.218, 0.218, 0.393)
In (0.327, 0.327, 0.035)
In (0.375, 0.375, 0.799)
In (0.500, 0.500, 0.500)
In (0.625, 0.625, 0.201)
In (0.673, 0.673, 0.965)
In (0.782, 0.782, 0.607)
In (0.962, 0.962, 0.664)
Pt (0.213, 0.213, 0.146)
Pt (0.362, 0.362, 0.534)
Pt (0.470, 0.470, 0.185)
Pt (0.530, 0.530, 0.815)
Pt (0.638, 0.638, 0.466)
Pt (0.787, 0.787, 0.854)

Results
- Mass density: 10.7 g/cm3
- Calculated formation energy: -3.74 eV per formula unit
- Space-group type: C2/m
- DOS(E_F): 0.512 states/eV per atom

=====

(3)
Material: CaOs2Ru
Method: DFT, PBE
State: optimized geometry

Cell: 4.974 4.974 5.201 Å, 102.50 102.50 33.01°
Positions (direct):
Ca (0.000, 0.000, 0.000)
Os (0.225, 0.225, 0.642)
Os (0.491, 0.491, 0.509)
Ru (0.769, 0.769, 0.250)

Results
- Mass density: 12.7 g/cm3
- Energy above the lowest structure with this stoichiometry: 56 meV/atom
- Calculated formation energy: 1.85 eV per formula unit
- Space-group type: Cm
- DOS(E_F): 0.994 states/eV per atom

=====

(4)
Material: Mn2BeTc
Method: DFT, PBE
State: optimized geometry

Cell: 4.416 4.416 4.416 Å, 132.22 132.22 69.88°
Positions (direct):
Mn (0.250, 0.750, 0.500)
Mn (0.750, 0.250, 0.500)
Be (0.000, 0.000, 0.000)
Tc (0.500, 0.500, 0.000)

Results
- Mass density: 7.8 g/cm3
- Calculated formation energy: 0.08 eV per formula unit
- Space-group type: I4/mmm
- DOS(E_F): 0.914 states/eV per atom

=====

(5)
Material: K2PrAgCl6
Method: DFT, PBE
State: optimized geometry

Cell: 7.403 7.812 12.706 Å, 90.00 124.60 90.00°
Positions (direct):
K (0.223, 0.074, 0.248)
K (0.223, 0.426, 0.748)
K (0.777, 0.574, 0.252)
K (0.777, 0.926, 0.752)
Pr (0.500, 0.000, 0.000)
Pr (0.500, 0.500, 0.500)
Ag (0.000, 0.000, 0.500)
Ag (0.000, 0.500, 0.000)
Cl (0.144, 0.193, 0.945)
Cl (0.144, 0.307, 0.445)
Cl (0.255, 0.704, 0.945)
Cl (0.255, 0.796, 0.445)
Cl (0.356, 0.034, 0.746)
Cl (0.356, 0.466, 0.246)
Cl (0.644, 0.534, 0.754)
Cl (0.644, 0.966, 0.254)
Cl (0.745, 0.204, 0.555)
Cl (0.745, 0.296, 0.055)
Cl (0.856, 0.693, 0.555)
Cl (0.856, 0.807, 0.055)

Results
- Mass density: 3.0 g/cm3
- Energy above the lowest structure with this stoichiometry: 0 meV/atom
- Space-group type: P2_1/c
- DOS(E_F): 0.000 states/eV per atom
- Energy relative to the elements, uncorrected: -18.0 eV/f.u.

=====

(6)
Material: In2Ge2Ir
Method: DFT, PBE
State: optimized geometry

Cell: 6.477 6.477 4.933 Å, 90.00 90.00 90.00°
Positions (direct):
In (0.180, 0.320, 0.000)
In (0.320, 0.820, 0.000)
In (0.680, 0.180, 0.000)
In (0.820, 0.680, 0.000)
Ge (0.143, 0.643, 0.500)
Ge (0.357, 0.143, 0.500)
Ge (0.643, 0.857, 0.500)
Ge (0.857, 0.357, 0.500)
Ir (0.000, 0.000, 0.500)
Ir (0.500, 0.500, 0.500)

Results
- Mass density: 9.1 g/cm3
- Calculated formation energy: 0.21 eV per formula unit
- Space-group type: P4/mbm
- DOS(E_F): 0.408 states/eV per atom